No. 1
AcTlIr2O8: optimized geometry, PBE-GGA.

The raw formation energy is -1000 meV/atom. The value obtained for the calculated density is 5.91 g cm⁻³. The value obtained for the spin magnetization is 2.10 μB/f.u. As for the electronic total energy: -75.87 eV per formula unit. As for the crystal system: trigonal.

abc: 6.1773 6.1773 8.0210
angles: 90.00 90.00 120.00
Positions (direct):
Ac  0.0000  0.0000  0.0000
Tl  0.0000  0.0000  0.5000
Ir  0.3333  0.6667  0.2895
Ir  0.6667  0.3333  0.7105
O  0.1739  0.8241  0.1990
O  0.1759  0.3498  0.1990
O  0.3333  0.6667  0.5110
O  0.3498  0.1739  0.8010
O  0.6502  0.8261  0.1990
O  0.6667  0.3333  0.4890
O  0.8241  0.6502  0.8010
O  0.8261  0.1759  0.8010

***

No. 2
Tb3DyHo4Se8: optimized geometry, PBE-GGA.

The raw formation energy is -1740 meV/atom. The value obtained for the calculated density is 8.38 g cm⁻³. The value obtained for the spin magnetization is 0.00 μB/f.u. As for the electronic total energy: -92.51 eV per formula unit. As for the crystal system: trigonal.

abc: 8.1512 8.1512 8.1512
angles: 59.94 59.94 59.94
Positions (direct):
Tb  0.0000  0.5000  0.5000
Tb  0.5000  0.0000  0.5000
Tb  0.5000  0.5000  0.0000
Dy  0.0000  0.0000  0.0000
Ho  0.0000  0.0000  0.5000
Ho  0.0000  0.5000  0.0000
Ho  0.5000  0.0000  0.0000
Ho  0.5000  0.5000  0.5000
Se  0.2479  0.7494  0.7494
Se  0.2486  0.2486  0.2486
Se  0.2506  0.2506  0.7521
Se  0.2506  0.7521  0.2506
Se  0.7494  0.2479  0.7494
Se  0.7494  0.7494  0.2479
Se  0.7514  0.7514  0.7514
Se  0.7521  0.2506  0.2506

***

No. 3
PaIn2Pd2: optimized geometry, PBE-GGA.

The calculated formation energy is -0.42 eV/atom. The value obtained for the calculated density is 9.85 g cm⁻³. The value obtained for the spin magnetization is 0.00 μB/f.u. As for the electronic total energy: -27.47 eV per formula unit. As for the crystal system: monoclinic.

abc: 4.9665 4.6530 9.8272
angles: 90.00 91.89 90.00
Positions (direct):
Pa  0.1951  0.2500  0.1607
Pa  0.8049  0.7500  0.8393
In  0.2661  0.2500  0.5058
In  0.2851  0.2500  0.8105
In  0.7149  0.7500  0.1895
In  0.7339  0.7500  0.4942
Pd  0.2166  0.7500  0.3355
Pd  0.3071  0.7500  0.9791
Pd  0.6929  0.2500  0.0209
Pd  0.7834  0.2500  0.6645

***

No. 4
Tb3Ho4Er4: optimized geometry, PBE-GGA.

The calculation puts the relative energy among the computed polymorphs at 0.0 meV/atom. The calculated formation energy is 0.06 eV/atom. The value obtained for the calculated density is 8.83 g cm⁻³. The value obtained for the spin magnetization is 0.00 μB/f.u. As for the electronic total energy: -49.79 eV per formula unit. As for the crystal system: triclinic.

abc: 3.4601 5.5593 17.9512
angles: 81.10 84.49 89.99
Positions (direct):
Tb  0.0000  0.0000  0.0000
Tb  0.1364  0.6364  0.7264
Tb  0.8636  0.3636  0.2736
Ho  0.3198  0.8195  0.3616
Ho  0.4548  0.4549  0.0916
Ho  0.5452  0.5451  0.9084
Ho  0.6802  0.1805  0.6384
Er  0.2663  0.2667  0.4668
Er  0.4092  0.9101  0.1813
Er  0.5908  0.0899  0.8187
Er  0.7337  0.7333  0.5332

***

No. 5
YMgCu: optimized geometry, PBE-GGA.

The calculation puts the relative energy among the computed polymorphs at 282.1 meV/atom. The calculated formation energy is 0.06 eV/atom. The value obtained for the calculated density is 4.04 g cm⁻³. The value obtained for the spin magnetization is 0.00 μB/f.u. As for the electronic total energy: -11.97 eV per formula unit. As for the crystal system: trigonal.

abc: 3.7254 3.7254 6.0453
angles: 90.00 90.00 120.00
Positions (direct):
Y  0.0000  0.0000  0.0000
Mg  0.3333  0.6667  0.5573
Cu  0.6667  0.3333  0.3023

***

No. 6
Ba6AgPd2Pt: optimized geometry, PBE-GGA.

The calculated formation energy is -0.44 eV/atom. The value obtained for the calculated density is 5.23 g cm⁻³. The value obtained for the spin magnetization is 0.00 μB/f.u. As for the electronic total energy: -35.17 eV per formula unit. As for the crystal system: trigonal.

abc: 8.8941 8.8941 8.8941
angles: 53.79 53.79 53.79
Positions (direct):
Ba  0.0000  0.3319  0.6681
Ba  0.1396  0.8585  0.5189
Ba  0.3319  0.6681  0.0000
Ba  0.5189  0.1396  0.8585
Ba  0.6681  0.0000  0.3319
Ba  0.8585  0.5189  0.1396
Ag  0.4255  0.4255  0.4255
Pd  0.2540  0.2540  0.2540
Pd  0.7472  0.7472  0.7472
Pt  0.9242  0.9242  0.9242

***

No. 7
MoSeN2: optimized geometry, PBE-GGA.

The raw formation energy is 240 meV/atom. The value obtained for the calculated density is 6.66 g cm⁻³. The value obtained for the spin magnetization is 0.00 μB/f.u. As for the electronic total energy: -30.01 eV per formula unit. As for the crystal system: trigonal.

abc: 6.8037 6.8037 6.8037
angles: 25.29 25.29 25.29
Positions (direct):
Mo  0.0000  0.0000  0.0000
Se  0.5000  0.5000  0.5000
N  0.3941  0.3941  0.3941
N  0.6059  0.6059  0.6059

***

No. 8
Dy4SiCl5: optimized geometry, PBE-GGA.

The raw formation energy is -1689 meV/atom. The value obtained for the calculated density is 5.21 g cm⁻³. The value obtained for the spin magnetization is 0.00 μB/f.u. As for the electronic total energy: -49.96 eV per formula unit. As for the crystal system: monoclinic.

abc: 8.9909 8.9909 8.1017
angles: 102.87 102.87 25.33
Positions (direct):
Dy  0.0004  0.0004  0.2305
Dy  0.9996  0.9996  0.7695
Dy  0.3455  0.3455  0.9137
Dy  0.6545  0.6545  0.0863
Si  0.5000  0.5000  0.0000
Cl  0.1662  0.1662  0.3252
Cl  0.1730  0.1730  0.8521
Cl  0.5000  0.5000  0.5000
Cl  0.8270  0.8270  0.1479
Cl  0.8338  0.8338  0.6748

***

No. 9
TlZnMo: optimized geometry, PBE-GGA.

The calculation puts the relative energy among the computed polymorphs at 73.2 meV/atom. The calculated formation energy is 0.63 eV/atom. The value obtained for the calculated density is 10.87 g cm⁻³. The value obtained for the spin magnetization is 1.15 μB/f.u. As for the electronic total energy: -12.57 eV per formula unit. As for the crystal system: tetragonal.

abc: 5.8358 5.8358 5.8358
angles: 147.92 147.92 46.00
Positions (direct):
Tl  0.0000  0.0000  0.0000
Zn  0.3150  0.3150  0.0000
Mo  0.6855  0.6855  0.0000

***

No. 10
PrTm2Mg: optimized geometry, PBE-GGA.

The calculation puts the relative energy among the computed polymorphs at 48.9 meV/atom. The calculated formation energy is 0.02 eV/atom. The value obtained for the calculated density is 6.97 g cm⁻³. The value obtained for the spin magnetization is 0.00 μB/f.u. As for the electronic total energy: -15.22 eV per formula unit. As for the crystal system: tetragonal.

abc: 4.9000 4.9000 4.9925
angles: 90.00 90.00 90.00
Positions (direct):
Pr  0.0000  0.0000  0.0000
Tm  0.0000  0.5000  0.5000
Tm  0.5000  0.0000  0.5000
Mg  0.5000  0.5000  0.0000

***

No. 11
TiNbIn2As: optimized geometry, PBE-GGA.

The calculated formation energy is 0.88 eV/atom. The value obtained for the calculated density is 5.70 g cm⁻³. The value obtained for the spin magnetization is 0.00 μB/f.u. As for the electronic total energy: -23.67 eV per formula unit. As for the crystal system: tetragonal.

abc: 5.2932 5.2932 4.6281
angles: 90.00 90.00 90.00
Positions (direct):
Ti  0.0000  0.0000  0.0000
Nb  0.0000  0.0000  0.5000
In  0.0000  0.5000  0.0000
In  0.5000  0.0000  0.0000
As  0.5000  0.5000  0.5000

***

No. 12
NiPdI2: optimized geometry, PBE-GGA.

The calculation puts the relative energy among the computed polymorphs at 0.0 meV/atom. The raw formation energy is 72 meV/atom. The value obtained for the calculated density is 6.41 g cm⁻³. The value obtained for the spin magnetization is 0.00 μB/f.u. As for the electronic total energy: -13.79 eV per formula unit. As for the crystal system: tetragonal.

abc: 7.2905 7.2905 7.2905
angles: 130.84 130.84 72.07
Positions (direct):
Ni  0.0000  0.0000  0.0000
Ni  0.7500  0.2500  0.5000
Pd  0.2500  0.7500  0.5000
Pd  0.5000  0.5000  0.0000
I  0.0990  0.6250  0.9740
I  0.3750  0.3490  0.4740
I  0.6510  0.1250  0.0260
I  0.8750  0.9010  0.5260